VASP calculation (PBE) on a relaxed structure of RbPmSO5.

ΔE_f (raw) in meV per atom: -2138
M_tot in μB per cell: 0.00
Crystal system: monoclinic
Raw total energy in eV/atom: -6.468
Symmetry: No. 15

Unit cell a=6.3336 b=6.3336 c=8.1643 alpha=106.00 beta=106.00 gamma=105.42
With the nearest neighbours (Å) after each atom.
Fractional positions:
Rb1 0.1642 0.8358 0.7500  1 O 2.59
Rb2 0.8358 0.1642 0.2500  1 O 2.59
Pm1 0.5000 0.5000 0.0000  2 O 2.19
Pm2 0.5000 0.5000 0.5000  2 O 2.19
S1 0.1880 0.8120 0.2500  4 O 1.49-1.50
S2 0.8120 0.1880 0.7500  4 O 1.49-1.50
O1 0.0602 0.2627 0.8802  1 S 1.49
O2 0.2010 0.6536 0.3560  1 S 1.50
O3 0.2627 0.0602 0.3802  1 S 1.49
O4 0.3464 0.7990 0.1440  1 S 1.50
O5 0.4217 0.5783 0.7500  2 Pm 2.19
O6 0.5783 0.4217 0.2500  2 Pm 2.19
O7 0.6536 0.2010 0.8560  1 S 1.50
O8 0.7373 0.9398 0.6198  1 S 1.49
O9 0.7990 0.3464 0.6440  1 S 1.50
O10 0.9398 0.7373 0.1198  1 S 1.49


VASP calculation (PBE) on a relaxed structure of LiPm4Zn2Ga.

Formation energy from the elements in eV/atom: -0.29
M_tot in μB per cell: 0.00
Crystal system: trigonal
Raw total energy in eV/atom: -3.605
Symmetry: No. 166

Unit cell a=9.0510 b=9.0510 c=9.0510 alpha=33.38 beta=33.38 gamma=33.38
With the nearest neighbours (Å) after each atom.
Fractional positions:
Li1 0.0000 0.0000 0.0000  8 Pm 3.21-3.26
Pm1 0.1271 0.1271 0.1271  3 Ga 3.17, 4 Zn 3.25-3.28, 1 Li 3.26
Pm2 0.3779 0.3779 0.3779  4 Zn 3.12-3.14, 1 Ga 3.13, 3 Li 3.21
Pm3 0.6221 0.6221 0.6221  4 Zn 3.12-3.14, 1 Ga 3.13, 3 Li 3.21
Pm4 0.8729 0.8729 0.8729  3 Ga 3.17, 4 Zn 3.25-3.28, 1 Li 3.26
Zn1 0.2553 0.2553 0.2553  8 Pm 3.12-3.28
Zn2 0.7447 0.7447 0.7447  8 Pm 3.12-3.28
Ga1 0.5000 0.5000 0.5000  8 Pm 3.13-3.17


VASP calculation (PBE) on a relaxed structure of Pr8SbPb2.

ΔE_f (raw) in meV per atom: -374
M_tot in μB per cell: 0.00
Crystal system: monoclinic
Raw total energy in eV/atom: -4.899
Symmetry: No. 12

Unit cell a=10.4477 b=10.4477 c=7.3473 alpha=99.67 beta=99.67 gamma=28.67
With the nearest neighbours (Å) after each atom.
Fractional positions:
Pr1 0.0196 0.0196 0.2603  2 Sb 3.19, 1 Pb 3.28
Pr2 0.2129 0.2129 0.8466  3 Pb 3.30-3.55, 4 Pr 3.56-3.58
Pr3 0.3411 0.3411 0.4782  1 Sb 3.19, 3 Pb 3.25-3.31, 2 Pr 3.56
Pr4 0.4068 0.4068 0.0189  2 Pb 3.63, 10 Pr 3.70-3.96, 1 Sb 3.71
Pr5 0.5932 0.5932 0.9811  2 Pb 3.63, 10 Pr 3.70-3.96, 1 Sb 3.71
Pr6 0.6589 0.6589 0.5218  1 Sb 3.19, 3 Pb 3.25-3.31, 2 Pr 3.56
Pr7 0.7871 0.7871 0.1534  3 Pb 3.30-3.55, 4 Pr 3.56-3.58
Pr8 0.9804 0.9804 0.7397  2 Sb 3.19, 1 Pb 3.28
Sb1 0.5000 0.5000 0.5000  6 Pr 3.19
Pb1 0.1822 0.1822 0.2731  9 Pr 3.25-3.63
Pb2 0.8178 0.8178 0.7269  9 Pr 3.25-3.63